(1)
{"formula": "Dy2HoFe", "functional": "PBE", "state": "optimized geometry", "lattice_angstrom": [[7.043, 0.000, 0.000], [0.000, 9.156, 0.000], [0.000, 0.000, 6.232]], "species": ["Dy", "Dy", "Dy", "Dy", "Dy", "Dy", "Dy", "Dy", "Ho", "Ho", "Ho", "Ho", "Fe", "Fe", "Fe", "Fe"], "fractional_positions": [[0.174, 0.067, 0.173], [0.174, 0.433, 0.173], [0.326, 0.567, 0.673], [0.326, 0.933, 0.673], [0.674, 0.067, 0.327], [0.674, 0.433, 0.327], [0.826, 0.567, 0.827], [0.826, 0.933, 0.827], [0.049, 0.250, 0.639], [0.451, 0.750, 0.139], [0.549, 0.250, 0.861], [0.951, 0.750, 0.361], [0.110, 0.750, 0.966], [0.390, 0.250, 0.466], [0.610, 0.750, 0.534], [0.890, 0.250, 0.034]], "magmom_total_mub_per_atom": 0.000, "vol_a3_per_cell": 402, "spacegroup": "Pnma (62)", "ef_ev_per_atom": -0.013, "relative_energy_mev_per_atom": 0, "n_ef_per_ev_cell": 13.79, "rho_g_cm3": 9.02}

(2)
{"formula": "DyHoFe", "functional": "PBE", "state": "optimized geometry", "lattice_angstrom": [[3.315, 0.000, 0.000], [0.000, 3.315, 0.000], [0.000, 0.000, 12.786]], "species": ["Dy", "Dy", "Ho", "Ho", "Fe", "Fe"], "fractional_positions": [[0.000, 0.000, 0.000], [0.500, 0.500, 0.500], [0.000, 0.000, 0.251], [0.500, 0.500, 0.751], [0.000, 0.000, 0.626], [0.500, 0.500, 0.126]], "magmom_total_mub_per_atom": 0.000, "vol_a3_per_cell": 140, "spacegroup": "I4mm (107)", "ef_ev_per_atom": 0.040, "relative_energy_mev_per_atom": 0, "n_ef_per_ev_cell": 3.49, "rho_g_cm3": 9.06}

(3)
{"formula": "Dy2Ho6Fe", "functional": "PBE", "state": "optimized geometry", "lattice_angstrom": [[4.592, -8.446, 0.000], [4.592, 8.446, 0.000], [0.000, 0.000, 3.451]], "species": ["Dy", "Dy", "Ho", "Ho", "Ho", "Ho", "Ho", "Ho", "Fe"], "fractional_positions": [[0.177, 0.823, 0.000], [0.823, 0.177, 0.000], [0.169, 0.490, 0.500], [0.226, 0.226, 0.000], [0.490, 0.169, 0.500], [0.510, 0.831, 0.500], [0.774, 0.774, 0.000], [0.831, 0.510, 0.500], [0.500, 0.500, 0.500]], "magmom_total_mub_per_atom": 0.216, "vol_a3_per_cell": 268, "spacegroup": "Cmmm (65)", "ef_ev_per_atom": 0.234, "n_ef_per_ev_cell": 13.60, "rho_g_cm3": 8.50}

(4)
{"formula": "Dy3HoFe8", "functional": "PBE", "state": "optimized geometry", "lattice_angstrom": [[2.565, 1.481, 8.361], [-2.565, 1.481, 8.361], [0.000, -2.962, 8.361]], "species": ["Dy", "Dy", "Dy", "Ho", "Fe", "Fe", "Fe", "Fe", "Fe", "Fe", "Fe", "Fe"], "fractional_positions": [[0.000, 0.000, 0.000], [0.125, 0.125, 0.125], [0.500, 0.500, 0.500], [0.625, 0.625, 0.625], [0.062, 0.562, 0.562], [0.063, 0.063, 0.563], [0.063, 0.563, 0.063], [0.312, 0.312, 0.312], [0.562, 0.062, 0.562], [0.562, 0.562, 0.062], [0.563, 0.063, 0.063], [0.813, 0.813, 0.813]], "magmom_total_mub_per_atom": 1.136, "vol_a3_per_cell": 191, "spacegroup": "R3m (160)", "ef_ev_per_atom": -0.086, "n_ef_per_ev_cell": 17.50, "rho_g_cm3": 9.57}

(5)
{"formula": "Dy2HoFe", "functional": "PBE", "state": "optimized geometry", "lattice_angstrom": [[3.345, 0.000, 0.000], [0.000, 3.345, 0.000], [0.000, 0.000, 8.976]], "species": ["Dy", "Dy", "Ho", "Fe"], "fractional_positions": [[0.000, 0.000, 0.180], [0.000, 0.000, 0.820], [0.500, 0.500, 0.500], [0.500, 0.500, 0.000]], "magmom_total_mub_per_atom": 0.000, "vol_a3_per_cell": 100, "spacegroup": "P4/mmm (123)", "ef_ev_per_atom": 0.102, "relative_energy_mev_per_atom": 115, "n_ef_per_ev_cell": 3.79, "rho_g_cm3": 9.03}

(6)
{"formula": "LiDyHoFe", "functional": "PBE", "state": "optimized geometry", "lattice_angstrom": [[6.831, 0.000, 0.000], [0.000, 6.831, 0.000], [0.000, 0.000, 6.831]], "species": ["Li", "Li", "Li", "Li", "Dy", "Dy", "Dy", "Dy", "Ho", "Ho", "Ho", "Ho", "Fe", "Fe", "Fe", "Fe"], "fractional_positions": [[0.000, 0.000, 0.000], [0.000, 0.500, 0.500], [0.500, 0.000, 0.500], [0.500, 0.500, 0.000], [0.250, 0.250, 0.250], [0.250, 0.750, 0.750], [0.750, 0.250, 0.750], [0.750, 0.750, 0.250], [0.250, 0.250, 0.750], [0.250, 0.750, 0.250], [0.750, 0.250, 0.250], [0.750, 0.750, 0.750], [0.000, 0.000, 0.500], [0.000, 0.500, 0.000], [0.500, 0.000, 0.000], [0.500, 0.500, 0.500]], "magmom_total_mub_per_atom": 0.000, "vol_a3_per_cell": 319, "spacegroup": "F-43m (216)", "ef_ev_per_atom": 0.078, "n_ef_per_ev_cell": 10.72, "rho_g_cm3": 8.13}

(7)
{"formula": "DyHoFeNi", "functional": "PBE", "state": "optimized geometry", "lattice_angstrom": [[6.676, 0.000, 0.000], [0.000, 6.676, 0.000], [0.000, 0.000, 6.676]], "species": ["Dy", "Dy", "Dy", "Dy", "Ho", "Ho", "Ho", "Ho", "Fe", "Fe", "Fe", "Fe", "Ni", "Ni", "Ni", "Ni"], "fractional_positions": [[0.000, 0.000, 0.000], [0.000, 0.500, 0.500], [0.500, 0.000, 0.500], [0.500, 0.500, 0.000], [0.000, 0.000, 0.500], [0.000, 0.500, 0.000], [0.500, 0.000, 0.000], [0.500, 0.500, 0.500], [0.250, 0.250, 0.750], [0.250, 0.750, 0.250], [0.750, 0.250, 0.250], [0.750, 0.750, 0.750], [0.250, 0.250, 0.250], [0.250, 0.750, 0.750], [0.750, 0.250, 0.750], [0.750, 0.750, 0.250]], "magmom_total_mub_per_atom": 0.099, "vol_a3_per_cell": 298, "spacegroup": "F-43m (216)", "ef_ev_per_atom": -0.096, "n_ef_per_ev_cell": 13.65, "rho_g_cm3": 9.87}

(8)
{"formula": "DyHoFePd", "functional": "PBE", "state": "optimized geometry", "lattice_angstrom": [[6.841, 0.000, 0.000], [0.000, 6.841, 0.000], [0.000, 0.000, 6.841]], "species": ["Dy", "Dy", "Dy", "Dy", "Ho", "Ho", "Ho", "Ho", "Fe", "Fe", "Fe", "Fe", "Pd", "Pd", "Pd", "Pd"], "fractional_positions": [[0.000, 0.000, 0.000], [0.000, 0.500, 0.500], [0.500, 0.000, 0.500], [0.500, 0.500, 0.000], [0.000, 0.000, 0.500], [0.000, 0.500, 0.000], [0.500, 0.000, 0.000], [0.500, 0.500, 0.500], [0.250, 0.250, 0.250], [0.250, 0.750, 0.750], [0.750, 0.250, 0.750], [0.750, 0.750, 0.250], [0.250, 0.250, 0.750], [0.250, 0.750, 0.250], [0.750, 0.250, 0.250], [0.750, 0.750, 0.750]], "magmom_total_mub_per_atom": 0.161, "vol_a3_per_cell": 320, "spacegroup": "F-43m (216)", "ef_ev_per_atom": -0.323, "n_ef_per_ev_cell": 14.80, "rho_g_cm3": 10.16}

(9)
{"formula": "DyHoFeRh", "functional": "PBE", "state": "optimized geometry", "lattice_angstrom": [[6.803, 0.000, 0.000], [0.000, 6.803, 0.000], [0.000, 0.000, 6.803]], "species": ["Dy", "Dy", "Dy", "Dy", "Ho", "Ho", "Ho", "Ho", "Fe", "Fe", "Fe", "Fe", "Rh", "Rh", "Rh", "Rh"], "fractional_positions": [[0.000, 0.000, 0.000], [0.000, 0.500, 0.500], [0.500, 0.000, 0.500], [0.500, 0.500, 0.000], [0.000, 0.000, 0.500], [0.000, 0.500, 0.000], [0.500, 0.000, 0.000], [0.500, 0.500, 0.500], [0.250, 0.250, 0.250], [0.250, 0.750, 0.750], [0.750, 0.250, 0.750], [0.750, 0.750, 0.250], [0.250, 0.250, 0.750], [0.250, 0.750, 0.250], [0.750, 0.250, 0.250], [0.750, 0.750, 0.750]], "magmom_total_mub_per_atom": 0.392, "vol_a3_per_cell": 315, "spacegroup": "F-43m (216)", "ef_ev_per_atom": -0.318, "n_ef_per_ev_cell": 30.48, "rho_g_cm3": 10.26}

(10)
{"formula": "Dy7FeI12", "functional": "PBE", "state": "optimized geometry", "lattice_angstrom": [[7.833, 4.523, 3.638], [-7.833, 4.523, 3.638], [0.000, -9.045, 3.638]], "species": ["Dy", "Dy", "Dy", "Dy", "Dy", "Dy", "Dy", "Fe", "I", "I", "I", "I", "I", "I", "I", "I", "I", "I", "I", "I"], "fractional_positions": [[0.000, 0.000, 0.000], [0.213, 0.479, 0.408], [0.408, 0.213, 0.479], [0.479, 0.408, 0.213], [0.521, 0.592, 0.787], [0.592, 0.787, 0.521], [0.787, 0.521, 0.592], [0.500, 0.500, 0.500], [0.038, 0.115, 0.340], [0.115, 0.340, 0.038], [0.179, 0.573, 0.724], [0.276, 0.821, 0.427], [0.340, 0.038, 0.115], [0.427, 0.276, 0.821], [0.573, 0.724, 0.179], [0.660, 0.962, 0.885], [0.724, 0.179, 0.573], [0.821, 0.427, 0.276], [0.885, 0.660, 0.962], [0.962, 0.885, 0.660]], "magmom_total_mub_per_atom": 0.053, "vol_a3_per_cell": 773, "spacegroup": "R-3 (148)", "e_form_raw_ev_per_atom": -1.1689, "n_ef_per_ev_cell": 10.03, "rho_g_cm3": 5.83}

(11)
{"formula": "RbDyFe2I8", "functional": "PBE", "state": "optimized geometry", "lattice_angstrom": [[6.126, -4.211, 0.000], [6.126, 4.211, 0.000], [-0.991, 0.000, 10.706]], "species": ["Rb", "Dy", "Fe", "Fe", "I", "I", "I", "I", "I", "I", "I", "I"], "fractional_positions": [[0.000, 0.000, 0.000], [0.000, 0.000, 0.500], [0.377, 0.377, 0.713], [0.623, 0.623, 0.287], [0.238, 0.734, 0.294], [0.247, 0.247, 0.504], [0.266, 0.762, 0.706], [0.301, 0.301, 0.926], [0.699, 0.699, 0.074], [0.734, 0.238, 0.294], [0.753, 0.753, 0.496], [0.762, 0.266, 0.706]], "magmom_total_mub_per_atom": 0.667, "vol_a3_per_cell": 552, "spacegroup": "C2/m (12)", "e_form_raw_ev_per_atom": -0.7147, "n_ef_per_ev_cell": 12.68, "rho_g_cm3": 4.13}

(12)
{"formula": "Dy5InFe2", "functional": "PBE", "state": "optimized geometry", "lattice_angstrom": [[-3.719, 3.719, 7.197], [3.719, -3.719, 7.197], [3.719, 3.719, -7.197]], "species": ["Dy", "Dy", "Dy", "Dy", "Dy", "Dy", "Dy", "Dy", "Dy", "Dy", "In", "In", "Fe", "Fe", "Fe", "Fe"], "fractional_positions": [[0.000, 0.000, 0.000], [0.044, 0.544, 0.851], [0.193, 0.044, 0.500], [0.307, 0.807, 0.851], [0.456, 0.307, 0.500], [0.500, 0.500, 0.000], [0.544, 0.693, 0.500], [0.693, 0.193, 0.149], [0.807, 0.956, 0.500], [0.956, 0.456, 0.149], [0.250, 0.250, 0.000], [0.750, 0.750, 0.000], [0.106, 0.394, 0.500], [0.394, 0.894, 0.289], [0.606, 0.106, 0.711], [0.894, 0.606, 0.500]], "magmom_total_mub_per_atom": 0.020, "vol_a3_per_cell": 398, "spacegroup": "I4/mcm (140)", "ef_ev_per_atom": -0.126, "n_ef_per_ev_cell": 13.34, "rho_g_cm3": 8.67}